No. 1
Material: Sr2ZnAsP
Method: DFT, PBE-GGA
State: relaxed

Values from the calculation:
As for the symmetry: Cmc2_1, No. 36. As for the energy above the most stable polymorph in this dataset: 0.0 meV per atom.

The structure in CIF format:
```
data_Sr2ZnAsP
_chemical_formula_sum 'Sr4 Zn2 As2 P2'
_cell_length_a 8.389
_cell_length_b 8.389
_cell_length_c 7.624
_cell_angle_alpha 90.00
_cell_angle_beta 90.00
_cell_angle_gamma 150.55
_symmetry_space_group_name_H-M 'P 1'
_symmetry_Int_Tables_number 1
_symmetry_space_group_name_Hall 'P 1'
loop_
_atom_site_label
_atom_site_type_symbol
_atom_site_fract_x
_atom_site_fract_y
_atom_site_fract_z
Sr1 Sr 0.036 0.964 0.500
Sr2 Sr 0.210 0.790 0.155
Sr3 Sr 0.790 0.210 0.655
Sr4 Sr 0.964 0.036 0.000
Zn1 Zn 0.405 0.595 0.350
Zn2 Zn 0.595 0.405 0.850
As1 As 0.435 0.565 0.703
As2 As 0.565 0.435 0.203
P1 P 0.166 0.834 0.773
P2 P 0.834 0.166 0.273
```



No. 2
Material: Sr2ZnAsP
Method: DFT, PBE-GGA
State: relaxed

Values from the calculation:
As for the symmetry: Cmc2_1, No. 36. As for the energy above the most stable polymorph in this dataset: 12.0 meV per atom.

The structure in CIF format:
```
data_Sr2ZnAsP
_chemical_formula_sum 'Sr4 Zn2 As2 P2'
_cell_length_a 8.537
_cell_length_b 8.537
_cell_length_c 7.439
_cell_angle_alpha 90.00
_cell_angle_beta 90.00
_cell_angle_gamma 150.92
_symmetry_space_group_name_H-M 'P 1'
_symmetry_Int_Tables_number 1
_symmetry_space_group_name_Hall 'P 1'
loop_
_atom_site_label
_atom_site_type_symbol
_atom_site_fract_x
_atom_site_fract_y
_atom_site_fract_z
Sr1 Sr 0.032 0.968 0.500
Sr2 Sr 0.202 0.798 0.177
Sr3 Sr 0.798 0.202 0.677
Sr4 Sr 0.968 0.032 0.000
Zn1 Zn 0.407 0.593 0.359
Zn2 Zn 0.593 0.407 0.859
As1 As 0.167 0.833 0.772
As2 As 0.833 0.167 0.272
P1 P 0.440 0.560 0.703
P2 P 0.560 0.440 0.203
```



No. 3
Material: Tb3As2P
Method: DFT, PBE-GGA
State: relaxed

Values from the calculation:
As for the symmetry: P-3m1, No. 164. The calculation puts the total moment at 0.01 μB per formula unit.

The structure in CIF format:
```
data_Tb3As2P
_chemical_formula_sum 'Tb3 As2 P1'
_cell_length_a 4.099
_cell_length_b 4.099
_cell_length_c 10.051
_cell_angle_alpha 90.00
_cell_angle_beta 90.00
_cell_angle_gamma 120.00
_symmetry_space_group_name_H-M 'P 1'
_symmetry_Int_Tables_number 1
_symmetry_space_group_name_Hall 'P 1'
loop_
_atom_site_label
_atom_site_type_symbol
_atom_site_fract_x
_atom_site_fract_y
_atom_site_fract_z
Tb1 Tb 0.000 0.000 0.000
Tb2 Tb 0.333 0.667 0.339
Tb3 Tb 0.667 0.333 0.661
As1 As 0.333 0.667 0.831
As2 As 0.667 0.333 0.169
P1 P 0.000 0.000 0.500
```



No. 4
Material: Zn2Tc2As3P
Method: DFT, PBE-GGA
State: relaxed

Values from the calculation:
As for the symmetry: C2, No. 5. The calculation puts the total moment at 0.00 μB per formula unit.

The structure in CIF format:
```
data_Zn2Tc2As3P
_chemical_formula_sum 'Zn2 Tc2 As3 P1'
_cell_length_a 6.690
_cell_length_b 6.690
_cell_length_c 5.725
_cell_angle_alpha 113.84
_cell_angle_beta 113.84
_cell_angle_gamma 49.70
_symmetry_space_group_name_H-M 'P 1'
_symmetry_Int_Tables_number 1
_symmetry_space_group_name_Hall 'P 1'
loop_
_atom_site_label
_atom_site_type_symbol
_atom_site_fract_x
_atom_site_fract_y
_atom_site_fract_z
Zn1 Zn 0.119 0.119 0.355
Zn2 Zn 0.881 0.881 0.645
Tc1 Tc 0.398 0.360 0.123
Tc2 Tc 0.640 0.602 0.877
As1 As 0.022 0.475 0.766
As2 As 0.285 0.715 0.500
As3 As 0.525 0.978 0.234
P1 P 0.739 0.261 0.000
```



No. 5
Material: Tm3AsP2
Method: DFT, PBE-GGA
State: relaxed

Values from the calculation:
As for the symmetry: P-3m1, No. 164. The calculation puts the total moment at 0.01 μB per formula unit.

The structure in CIF format:
```
data_Tm3AsP2
_chemical_formula_sum 'Tm3 As1 P2'
_cell_length_a 3.982
_cell_length_b 3.982
_cell_length_c 9.768
_cell_angle_alpha 90.00
_cell_angle_beta 90.00
_cell_angle_gamma 120.00
_symmetry_space_group_name_H-M 'P 1'
_symmetry_Int_Tables_number 1
_symmetry_space_group_name_Hall 'P 1'
loop_
_atom_site_label
_atom_site_type_symbol
_atom_site_fract_x
_atom_site_fract_y
_atom_site_fract_z
Tm1 Tm 0.000 0.000 0.000
Tm2 Tm 0.333 0.667 0.327
Tm3 Tm 0.667 0.333 0.673
As1 As 0.000 0.000 0.500
P1 P 0.333 0.667 0.836
P2 P 0.667 0.333 0.164
```



No. 6
Material: Tm3As2P
Method: DFT, PBE-GGA
State: relaxed

Values from the calculation:
As for the symmetry: P-3m1, No. 164. The calculation puts the total moment at 0.01 μB per formula unit.

The structure in CIF format:
```
data_Tm3As2P
_chemical_formula_sum 'Tm3 As2 P1'
_cell_length_a 4.022
_cell_length_b 4.022
_cell_length_c 9.864
_cell_angle_alpha 90.00
_cell_angle_beta 90.00
_cell_angle_gamma 120.00
_symmetry_space_group_name_H-M 'P 1'
_symmetry_Int_Tables_number 1
_symmetry_space_group_name_Hall 'P 1'
loop_
_atom_site_label
_atom_site_type_symbol
_atom_site_fract_x
_atom_site_fract_y
_atom_site_fract_z
Tm1 Tm 0.000 0.000 0.000
Tm2 Tm 0.333 0.667 0.340
Tm3 Tm 0.667 0.333 0.660
As1 As 0.333 0.667 0.831
As2 As 0.667 0.333 0.169
P1 P 0.000 0.000 0.500
```



No. 7
Material: U3As2P
Method: DFT, PBE-GGA
State: relaxed

Values from the calculation:
As for the symmetry: P-3m1, No. 164. The calculation puts the total moment at 7.03 μB per formula unit.

The structure in CIF format:
```
data_U3As2P
_chemical_formula_sum 'U3 As2 P1'
_cell_length_a 4.028
_cell_length_b 4.028
_cell_length_c 9.911
_cell_angle_alpha 90.00
_cell_angle_beta 90.00
_cell_angle_gamma 120.00
_symmetry_space_group_name_H-M 'P 1'
_symmetry_Int_Tables_number 1
_symmetry_space_group_name_Hall 'P 1'
loop_
_atom_site_label
_atom_site_type_symbol
_atom_site_fract_x
_atom_site_fract_y
_atom_site_fract_z
U1 U 0.000 0.000 0.000
U2 U 0.333 0.667 0.346
U3 U 0.667 0.333 0.654
As1 As 0.333 0.667 0.828
As2 As 0.667 0.333 0.172
P1 P 0.000 0.000 0.500
```



No. 8
Material: Zn2AsP3W2
Method: DFT, PBE-GGA
State: relaxed

Values from the calculation:
As for the symmetry: C2, No. 5. The calculation puts the total moment at 0.00 μB per formula unit.

The structure in CIF format:
```
data_Zn2AsP3W2
_chemical_formula_sum 'Zn2 As1 P3 W2'
_cell_length_a 6.211
_cell_length_b 6.211
_cell_length_c 6.317
_cell_angle_alpha 115.70
_cell_angle_beta 115.70
_cell_angle_gamma 44.99
_symmetry_space_group_name_H-M 'P 1'
_symmetry_Int_Tables_number 1
_symmetry_space_group_name_Hall 'P 1'
loop_
_atom_site_label
_atom_site_type_symbol
_atom_site_fract_x
_atom_site_fract_y
_atom_site_fract_z
Zn1 Zn 0.104 0.104 0.302
Zn2 Zn 0.896 0.896 0.698
As1 As 0.679 0.321 0.500
P1 P 0.345 0.655 0.000
P2 P 0.427 0.023 0.691
P3 P 0.977 0.573 0.309
W1 W 0.345 0.317 0.083
W2 W 0.683 0.655 0.917
```



No. 9
Material: Zn5AsP3
Method: DFT, PBE-GGA
State: relaxed

Values from the calculation:
As for the symmetry: P-62m, No. 189.

The structure in CIF format:
```
data_Zn5AsP3
_chemical_formula_sum 'Zn5 As1 P3'
_cell_length_a 7.531
_cell_length_b 7.531
_cell_length_c 3.061
_cell_angle_alpha 90.00
_cell_angle_beta 90.00
_cell_angle_gamma 120.00
_symmetry_space_group_name_H-M 'P 1'
_symmetry_Int_Tables_number 1
_symmetry_space_group_name_Hall 'P 1'
loop_
_atom_site_label
_atom_site_type_symbol
_atom_site_fract_x
_atom_site_fract_y
_atom_site_fract_z
Zn1 Zn 0.000 0.280 0.000
Zn2 Zn 0.280 0.000 0.000
Zn3 Zn 0.333 0.667 0.000
Zn4 Zn 0.667 0.333 0.000
Zn5 Zn 0.720 0.720 0.000
As1 As 0.000 0.000 0.500
P1 P 0.000 0.544 0.500
P2 P 0.456 0.456 0.500
P3 P 0.544 0.000 0.500
```



No. 10
Material: Zr4As3P
Method: DFT, PBE-GGA
State: relaxed

Values from the calculation:
As for the symmetry: P-3m1, No. 164. The calculation puts the total moment at 0.01 μB per formula unit.

The structure in CIF format:
```
data_Zr4As3P
_chemical_formula_sum 'Zr4 As3 P1'
_cell_length_a 3.794
_cell_length_b 3.794
_cell_length_c 12.901
_cell_angle_alpha 90.00
_cell_angle_beta 90.00
_cell_angle_gamma 120.00
_symmetry_space_group_name_H-M 'P 1'
_symmetry_Int_Tables_number 1
_symmetry_space_group_name_Hall 'P 1'
loop_
_atom_site_label
_atom_site_type_symbol
_atom_site_fract_x
_atom_site_fract_y
_atom_site_fract_z
Zr1 Zr 0.333 0.667 0.119
Zr2 Zr 0.333 0.667 0.391
Zr3 Zr 0.667 0.333 0.609
Zr4 Zr 0.667 0.333 0.881
As1 As 0.000 0.000 0.000
As2 As 0.333 0.667 0.747
As3 As 0.667 0.333 0.253
P1 P 0.000 0.000 0.500
```



For the records above, the corresponding E values read -3.90 -3.88 -6.33 -5.19 -6.38 -6.22 -8.90 -5.98 -2.78 -7.93 eV per atom.